Entry 1:
Computed, not measured: a geometry-optimized BeAlTl2 structure at the PBE level of DFT.

Computed properties:
As for the space group: Fm-3m. The energy relative to the elements is 0.62 eV/atom. The calculation puts the magnetic moment at 0.00 μB per cell. The calculation puts the energy relative to the lowest polymorph listed for this composition at 257 meV/atom.

abc: 5.007 5.007 5.007
angles: 60.00 60.00 60.00
Fractional positions:
Be 0.000 0.000 0.000
Al 0.500 0.500 0.500
Tl 0.250 0.250 0.250
Tl 0.750 0.750 0.750

=====

Entry 2:
Computed, not measured: a geometry-optimized BeAlTl2 structure at the PBE level of DFT.

Computed properties:
As for the space group: P4/mmm. The energy relative to the elements is 0.63 eV/atom. The calculation puts the magnetic moment at 0.00 μB per cell. The calculation puts the energy relative to the lowest polymorph listed for this composition at 263 meV/atom.

abc: 4.664 4.664 4.024
angles: 90.00 90.00 90.00
Fractional positions:
Be 0.000 0.000 0.000
Al 0.500 0.500 0.000
Tl 0.000 0.500 0.500
Tl 0.500 0.000 0.500

=====

Repeat the second record exactly.
Computed, not measured: a geometry-optimized BeAlTl2 structure at the PBE level of DFT.

Computed properties:
As for the space group: P4/mmm. The energy relative to the elements is 0.63 eV/atom. The calculation puts the magnetic moment at 0.00 μB per cell. The calculation puts the energy relative to the lowest polymorph listed for this composition at 263 meV/atom.

abc: 4.664 4.664 4.024
angles: 90.00 90.00 90.00
Fractional positions:
Be 0.000 0.000 0.000
Al 0.500 0.500 0.000
Tl 0.000 0.500 0.500
Tl 0.500 0.000 0.500

=====

Q: What is the energy relative to the elements in the first record?
A: 0.62 eV/atom

=====

Q: The lowest energy relative to the elements belongs to which entry?
A: number 1

=====

Q: Which value of energy relative to the lowest polymorph listed for this composition does entry 2 give?
A: 263 meV/atom